The following is a PBE calculation of crystalline Mg2B2PtRh5 at its relaxed geometry, from the Alexandria database.

- Raw total energy: -6.399 eV per atom
- SG: P4/mbm (127)
- DOS at the Fermi energy: 0.919 states/eV/atom
- ΔE_f: -0.46 eV per atom

Cell: 2.896 9.675 9.675 Å, 90.00 90.00 90.00°
Fractional positions:
Rh 0.500 0.275 0.571
Mg 0.000 0.322 0.822
Rh 0.500 0.571 0.725
Rh 0.500 0.429 0.275
Rh 0.500 0.225 0.071
Rh 0.500 0.500 0.000
Mg 0.000 0.178 0.322
B 0.000 0.377 0.123
Pt 0.000 0.500 0.500
Rh 0.500 0.725 0.429
Mg 0.000 0.822 0.678
B 0.000 0.877 0.377
Rh 0.500 0.775 0.929
Pt 0.000 0.000 0.000
Mg 0.000 0.678 0.178
Rh 0.500 0.000 0.500
B 0.000 0.623 0.877
Rh 0.500 0.929 0.225
Rh 0.500 0.071 0.775
B 0.000 0.123 0.623

The following is a PBE calculation of crystalline MgBPtRh2 at its relaxed geometry, from the Alexandria database.

- Raw total energy: -6.293 eV per atom
- SG: P4/mmm (123)
- DOS at the Fermi energy: 0.716 states/eV/atom
- ΔE_f: -0.49 eV per atom

Cell: 4.130 4.130 4.146 Å, 90.00 90.00 90.00°
Fractional positions:
Rh 0.500 0.000 0.000
B 0.000 0.000 0.000
Pt 0.000 0.000 0.500
Mg 0.500 0.500 0.500
Rh 0.000 0.500 0.000